12
Lattice="6.051 0.000 0.000 -3.026 5.241 0.000 0.000 0.000 7.881" Properties=species:S:1:pos:R:3 comment="GGA+U RbTmW2O8, relaxed" magmom_total_mub_per_cell=0.00 e_tot_ev_per_atom=-7.36 pbc="T T T"
Rb 0.000 0.000 0.000
Tm 0.000 0.000 3.940
W 0.000 3.494 2.015
W 3.026 1.747 5.865
O 0.000 1.760 2.594
O -1.502 4.361 2.594
O 0.000 3.494 0.239
O 1.524 0.880 5.287
O 1.502 4.361 2.594
O 3.026 1.747 7.641
O 4.527 0.880 5.287
O 3.026 3.481 5.287